[1]
Compound: BaLiFe2Cl8
Source: Alexandria via LeMat-Bulk
Functional: PBE
Structure: optimized geometry

Geometry as extended XYZ:
```
12
Lattice="7.178 0.000 0.000 -3.589 6.216 0.000 0.000 0.000 8.327" Properties=species:S:1:pos:R:3 pbc="T T T"
Ba 0.000 0.000 0.000
Li 0.000 0.000 4.164
Fe 0.000 4.144 1.778
Fe 3.589 2.072 6.550
Cl 0.000 2.000 2.487
Cl -1.857 5.216 2.487
Cl 1.732 1.000 5.840
Cl 0.000 4.144 7.891
Cl 3.589 2.072 0.436
Cl 1.857 5.216 2.487
Cl 5.446 1.000 5.840
Cl 3.589 4.216 5.840
```

Properties
- Formation energy without anion corrections: -1553 kJ/mol of formula units
- Density of states at the Fermi level: 9.1 states/eV/cell
- Energy: -4.30 eV per atom
- Space-group type: No. 164



[2]
Compound: Ba2LiFeCl
Source: Alexandria via LeMat-Bulk
Functional: PBE
Structure: optimized geometry

Geometry as extended XYZ:
```
5
Lattice="6.201 0.000 0.000 0.000 6.201 0.000 0.000 0.000 4.141" Properties=species:S:1:pos:R:3 pbc="T T T"
Ba 0.000 3.100 0.000
Ba 3.100 0.000 0.000
Li 0.000 0.000 2.071
Fe 3.100 3.100 2.071
Cl 3.100 3.100 0.000
```

Properties
- Formation energy without anion corrections: -41 kJ/mol of formula units
- Density of states at the Fermi level: 3.2 states/eV/cell
- Energy: -3.30 eV per atom
- Space-group type: No. 123



[3]
Compound: BaNaFe2Cl8
Source: Alexandria via LeMat-Bulk
Functional: PBE
Structure: optimized geometry

Geometry as extended XYZ:
```
12
Lattice="7.196 0.000 0.000 -3.598 6.232 0.000 0.000 0.000 8.869" Properties=species:S:1:pos:R:3 pbc="T T T"
Ba 0.000 0.000 0.000
Na 0.000 0.000 4.435
Fe 0.000 4.154 7.110
Fe 3.598 2.077 1.760
Cl -0.336 2.031 6.408
Cl -1.670 5.507 6.408
Cl 1.591 1.307 2.462
Cl 0.000 4.154 0.450
Cl 3.598 2.077 8.419
Cl 2.007 4.925 6.408
Cl 5.268 0.724 2.462
Cl 3.934 4.200 2.462
```

Properties
- Formation energy without anion corrections: -1569 kJ/mol of formula units
- Density of states at the Fermi level: 9.2 states/eV/cell
- Energy: -4.27 eV per atom
- Space-group type: No. 147



[4]
Compound: BaFe2NiCl8
Source: Alexandria via LeMat-Bulk
Functional: PBE
Structure: optimized geometry

Geometry as extended XYZ:
```
12
Lattice="7.093 0.000 0.000 -3.546 6.142 0.000 0.000 0.000 8.131" Properties=species:S:1:pos:R:3 pbc="T T T"
Ba 0.000 0.000 0.000
Fe 0.000 4.095 1.885
Fe 3.546 2.047 6.246
Ni 0.000 0.000 4.066
Cl 0.000 1.925 2.537
Cl -1.879 5.180 2.537
Cl 1.667 0.963 5.595
Cl 0.000 4.095 7.788
Cl 3.546 2.047 0.343
Cl 1.879 5.180 2.537
Cl 5.425 0.963 5.595
Cl 3.546 4.217 5.595
```

Properties
- Formation energy without anion corrections: -1213 kJ/mol of formula units
- Density of states at the Fermi level: 10.6 states/eV/cell
- Energy: -4.33 eV per atom
- Space-group type: No. 164